No. 1
A geometry-optimized LiAcSmS3 structure. Source: the Alexandria database, functional GGA-PBE.

abc: 4.0138 8.4436 8.7253
angles: 103.29 90.00 90.00
Element x y z (fractional)
Sm 0.2500 0.6614 0.1610
Sm 0.7500 0.3386 0.8390
Ac 0.7500 0.8143 0.7750
Ac 0.2500 0.1857 0.2250
S 0.7500 0.8981 0.1349
S 0.2500 0.7967 0.4951
S 0.2500 0.1019 0.8651
S 0.7500 0.2033 0.5049
S 0.2500 0.5681 0.8257
S 0.7500 0.4319 0.1743
Li 0.2500 0.0883 0.5883
Li 0.7500 0.9117 0.4117

- Crystal system: monoclinic
- Magnetization: 0.00 μB/f.u.
- E_tot: -5.723 eV per atom

***

No. 2
A geometry-optimized RbTbCuI5 structure. Source: the Alexandria database, functional GGA-PBE.

abc: 8.3587 8.3587 11.3682
angles: 104.06 104.06 105.39
Element x y z (fractional)
I 0.7701 0.6164 0.4323
I 0.0916 0.6809 0.8821
I 0.2299 0.3836 0.5677
I 0.6164 0.7701 0.9323
I 0.9170 0.0830 0.7500
I 0.9084 0.3191 0.1179
I 0.6809 0.0916 0.3821
I 0.0830 0.9170 0.2500
I 0.3191 0.9084 0.6179
I 0.3836 0.2299 0.0677
Cu 0.6896 0.3104 0.2500
Cu 0.3104 0.6896 0.7500
Rb 0.6416 0.3584 0.7500
Rb 0.3584 0.6416 0.2500
Tb 0.0000 0.0000 0.5000
Tb 0.0000 0.0000 0.0000

- Crystal system: monoclinic
- Magnetization: 0.00 μB/f.u.
- E_tot: -3.265 eV per atom

***

No. 3
A geometry-optimized GeBiPt3 structure. Source: the Alexandria database, functional GGA-PBE.

abc: 4.7235 4.7235 4.7235
angles: 90.00 90.00 90.00
Element x y z (fractional)
Bi 0.5000 0.5000 0.5000
Pt 0.0000 0.5000 0.0000
Pt 0.0000 0.0000 0.5000
Pt 0.5000 0.0000 0.0000
Ge 0.0000 0.0000 0.0000

- Crystal system: cubic
- Offset from the most stable computed form: 1.99 eV per formula unit
- Magnetization: 0.00 μB/f.u.
- E_tot: -5.163 eV per atom

***

Number 3 is which compound?
GeBiPt3